Entry 1:
Here is Na3La2ZrSe6 after structural relaxation from the Alexandria database. Energies are from GGA-PBE.

Results
formation energy without anion corrections: -1811 kJ/mol of formula units

Lattice parameters (Å, degrees): 7.2819 7.2819 7.4530 99.46 99.46 119.97
Closest atoms and distances in Å follow each position.
Sites, in units of the cell vectors:
Na1 0.0000 0.0000 0.0000  6 Se 2.99-3.23
Na2 0.3316 0.6684 0.0000  6 Se 3.01-3.18
Na3 0.6684 0.3316 0.0000  6 Se 3.01-3.18
La1 0.1669 0.8331 0.5000  6 Se 3.00-3.01
La2 0.8331 0.1669 0.5000  6 Se 3.00-3.01
Zr1 0.5000 0.5000 0.5000  6 Se 2.78-2.80
Se1 0.1112 0.4208 0.2648  1 Zr 2.80, 2 Na 2.99-3.01, 2 La 3.01
Se2 0.2688 0.2688 0.7317  1 Zr 2.78, 2 La 3.00, 2 Na 3.02
Se3 0.4208 0.1112 0.2648  1 Zr 2.80, 2 Na 2.99-3.01, 2 La 3.01
Se4 0.5792 0.8888 0.7352  1 Zr 2.80, 2 Na 2.99-3.01, 2 La 3.01
Se5 0.7312 0.7312 0.2683  1 Zr 2.78, 2 La 3.00, 2 Na 3.02
Se6 0.8888 0.5792 0.7352  1 Zr 2.80, 2 Na 2.99-3.01, 2 La 3.01



Entry 2:
Here is Na2LaZrSe4 after structural relaxation from the Alexandria database. Energies are from GGA-PBE.

Results
formation energy without anion corrections: -1142 kJ/mol of formula units

Lattice parameters (Å, degrees): 7.1782 4.0838 7.4621 90.00 108.34 90.00
Closest atoms and distances in Å follow each position.
Sites, in units of the cell vectors:
Na1 0.0000 0.0000 0.0000  6 Se 3.12-3.16
Na2 0.5000 0.5000 0.0000  6 Se 2.95-2.96
La1 0.0000 0.5000 0.5000  6 Se 2.98-2.99
Zr1 0.5000 0.0000 0.5000  6 Se 2.78-2.81
Se1 0.2693 0.0000 0.7375  1 Zr 2.78, 2 Na 2.95, 2 La 2.98
Se2 0.2768 0.5000 0.2734  2 Zr 2.81, 3 Na 2.96-3.12, 1 La 2.99
Se3 0.7232 0.5000 0.7266  2 Zr 2.81, 3 Na 2.96-3.12, 1 La 2.99
Se4 0.7307 0.0000 0.2625  1 Zr 2.78, 2 Na 2.95, 2 La 2.98



Entry 3:
Here is NaLa2Si after structural relaxation from the Alexandria database. Energies are from GGA-PBE.

Results
formation energy without anion corrections: -91 kJ/mol of formula units

Lattice parameters (Å, degrees): 3.9001 3.9001 8.1285 90.00 90.00 90.00
Closest atoms and distances in Å follow each position.
Sites, in units of the cell vectors:
Na1 0.0000 0.0000 0.0000  8 La 3.77, 4 Na 3.90, 2 Si 4.06
La1 0.5000 0.5000 0.3154  1 La 3.00, 4 Si 3.14
La2 0.5000 0.5000 0.6846  1 La 3.00, 4 Si 3.14
Si1 0.0000 0.0000 0.5000  8 La 3.14



Entry 4:
Here is NaLaSi2 after structural relaxation from the Alexandria database. Energies are from GGA-PBE.

Results
formation energy without anion corrections: 76 kJ/mol of formula units

Lattice parameters (Å, degrees): 9.8687 9.8687 9.8687 152.37 152.37 39.47
Closest atoms and distances in Å follow each position.
Sites, in units of the cell vectors:
Na1 0.0000 0.0000 0.0000  4 Si 2.67
Na2 0.7500 0.2500 0.5000  4 Si 2.67
La1 0.2500 0.7500 0.5000  4 Si 3.15, 4 Na 3.33
La2 0.5000 0.5000 0.0000  4 Si 3.15, 4 Na 3.33
Si1 0.3750 0.2474 0.3724  2 Si 2.62, 2 Na 2.67
Si2 0.7526 0.1250 0.1276  2 Si 2.62, 2 Na 2.67
Si3 0.8750 0.0026 0.6276  2 Si 2.62, 2 Na 2.67
Si4 0.9974 0.6250 0.8724  2 Si 2.62, 2 Na 2.67



Which of these has the highest formation energy without anion corrections? NaLaSi2



The lowest formation energy without anion corrections belongs to which entry? Na3La2ZrSe6



Among the records above, which one has the highest formation energy without anion corrections? NaLaSi2